VASP calculation (PBE-GGA) on crystalline Mg6AlTl at its relaxed geometry.

Output
**Space-group type**: P4/mmm

extended XYZ file:
```
8
Lattice="4.448 0.000 0.000 0.000 4.448 0.000 0.000 0.000 8.916" Properties=species:S:1:pos:R:3 pbc="T T T"
Mg 0.000 0.000 0.000
Mg 0.000 0.000 4.458
Mg 0.000 2.224 2.130
Mg 0.000 2.224 6.786
Mg 2.224 0.000 2.130
Mg 2.224 0.000 6.786
Al 2.224 2.224 0.000
Tl 2.224 2.224 4.458
```

=====

VASP calculation (PBE-GGA) on crystalline Mg12AlTl3 at its relaxed geometry.

Output
**Space-group type**: P4/mmm

extended XYZ file:
```
16
Lattice="4.454 0.000 0.000 0.000 4.454 0.000 0.000 0.000 18.251" Properties=species:S:1:pos:R:3 pbc="T T T"
Mg 0.000 0.000 0.000
Mg 0.000 0.000 4.473
Mg 0.000 0.000 9.126
Mg 0.000 0.000 13.778
Mg 0.000 2.227 2.135
Mg 0.000 2.227 6.801
Mg 0.000 2.227 11.450
Mg 0.000 2.227 16.116
Mg 2.227 0.000 2.135
Mg 2.227 0.000 6.801
Mg 2.227 0.000 11.450
Mg 2.227 0.000 16.116
Al 2.227 2.227 0.000
Tl 2.227 2.227 4.480
Tl 2.227 2.227 9.126
Tl 2.227 2.227 13.771
```

=====

VASP calculation (PBE-GGA) on crystalline Mg5AlTl2 at its relaxed geometry.

Output
**Distance to the lowest polymorph of the same formula**: 0 meV per atom
**Space-group type**: I4/mmm

extended XYZ file:
```
8
Lattice="-2.286 2.286 8.815 2.286 -2.286 8.815 2.286 2.286 -8.815" Properties=species:S:1:pos:R:3 pbc="T T T"
Mg 0.000 0.000 0.000
Mg 2.286 0.000 2.068
Mg 2.286 0.000 6.747
Mg 0.000 2.286 2.068
Mg 0.000 2.286 6.747
Al 0.000 0.000 8.815
Tl 0.000 0.000 4.353
Tl 0.000 0.000 13.278
```

=====

VASP calculation (PBE-GGA) on crystalline Mg4AlTl at its relaxed geometry.

Output
**Distance to the lowest polymorph of the same formula**: 156 meV per atom
**Space-group type**: F-43m

extended XYZ file:
```
6
Lattice="0.000 4.124 4.124 4.124 0.000 4.124 4.124 4.124 0.000" Properties=species:S:1:pos:R:3 pbc="T T T"
Mg 1.035 1.035 1.035
Mg 3.089 3.089 1.035
Mg 3.089 1.035 3.089
Mg 1.035 3.089 3.089
Al 4.124 4.124 4.124
Tl 6.185 6.185 6.185
```

=====

VASP calculation (PBE-GGA) on crystalline MgAlTl at its relaxed geometry.

Output
**Space-group type**: Imm2

extended XYZ file:
```
3
Lattice="-1.580 2.164 5.028 1.580 -2.164 5.028 1.580 2.164 -5.028" Properties=species:S:1:pos:R:3 pbc="T T T"
Mg 0.000 0.000 0.000
Al 0.000 0.000 6.460
Tl 0.000 0.000 3.238
```

=====

VASP calculation (PBE-GGA) on crystalline MgAlTl at its relaxed geometry.

Output
**Space-group type**: P1

extended XYZ file:
```
6
Lattice="3.300 0.000 0.000 -0.025 6.143 0.000 -1.608 -0.294 6.936" Properties=species:S:1:pos:R:3 pbc="T T T"
Mg 0.000 0.000 0.000
Mg 0.032 1.541 4.949
Al 0.019 4.592 4.844
Al 1.675 3.221 3.085
Tl 0.013 3.112 0.462
Tl 1.667 0.151 2.604
```

=====

Formation energy from the elements in meV per atom, matching the order above: -21; -27; 10; 163; 124; 135
Magnetization in μB per cell, matching the order above: 0.00; 0.00; 0.00; 0.00; 0.00; 0.00